Entry A
5
Lattice="4.1548 0.0000 0.0000 0.0000 4.1548 0.0000 0.0000 0.0000 4.1548" Properties=species:S:1:pos:R:3 comment="PBE-GGA LaB3Ir, relaxed" vol_a3_per_atom=14.34 rho_g_cm3=8.42 m_tot_mub_per_cell=0.0 pbc="T T T"
La 0.0000 0.0000 0.0000
B 0.0000 2.0774 2.0774
B 2.0774 0.0000 2.0774
B 2.0774 2.0774 0.0000
Ir 2.0774 2.0774 2.0774

***

Entry B
5
Lattice="4.3549 0.0000 0.0000 0.0000 4.3549 0.0000 0.0000 0.0000 4.3549" Properties=species:S:1:pos:R:3 comment="PBE-GGA LaB3Ir, relaxed" vol_a3_per_atom=16.52 rho_g_cm3=7.31 m_tot_mub_per_cell=0.0 pbc="T T T"
La 0.0000 0.0000 0.0000
B 0.0000 0.0000 2.1774
B 0.0000 2.1774 0.0000
B 2.1774 0.0000 0.0000
Ir 2.1774 2.1774 2.1774

***

Stability check: which of them is least stable? entry B.

***

Entry A
5
Lattice="4.1315 0.0000 0.0000 0.0000 4.1315 0.0000 0.0000 0.0000 4.9071" Properties=species:S:1:pos:R:3 comment="PBE-GGA LaBIrOs2, relaxed" vol_a3_per_atom=16.75 rho_g_cm3=14.32 m_tot_mub_per_cell=0.0 pbc="T T T"
La 0.0000 0.0000 0.0000
B 0.0000 0.0000 2.4535
Ir 2.0658 2.0658 0.0000
Os 0.0000 2.0658 2.4535
Os 2.0658 0.0000 2.4535

***

Entry B
5
Lattice="4.9404 0.0000 0.0000 0.0000 4.9404 0.0000 0.0000 0.0000 4.9520" Properties=species:S:1:pos:R:3 comment="PBE-GGA LaBIrOs2, relaxed" vol_a3_per_atom=24.17 rho_g_cm3=9.92 m_tot_mub_per_cell=2.8 pbc="T T T"
La 0.0000 0.0000 0.0000
B 2.4702 2.4702 2.4760
Ir 0.0000 0.0000 2.4760
Os 0.0000 2.4702 0.0000
Os 2.4702 0.0000 0.0000

***

Stability check: which of them is least stable? entry B.